(1)
An optimized crystal structure of V4BRh2, computed with PBE-GGA.

The structure in extended XYZ format:
```
7
Lattice="3.9710 0.0000 0.0000 0.0000 3.9710 0.0000 1.9855 1.9855 6.1820" Properties=species:S:1:pos:R:3 pbc="T T T"
Rh 3.9710 3.9710 4.4044
Rh 1.9855 1.9855 1.7776
V 0.0000 1.9855 0.0000
V 3.9710 3.9710 2.1179
V 1.9855 1.9855 4.0641
V 1.9855 0.0000 0.0000
B 0.0000 0.0000 0.0000
```

Results
SG = I4/mmm
Total magnetization = 0.0 μB per formula unit
Total DFT energy (no corrections) = -57.45 eV per cell

(2)
An optimized crystal structure of V6BRh12, computed with PBE-GGA.

The structure in extended XYZ format:
```
19
Lattice="6.3605 0.4804 0.5755 -0.4894 6.3598 0.5755 -0.4894 -0.5702 6.3603" Properties=species:S:1:pos:R:3 pbc="T T T"
Rh 4.5875 3.5809 3.5541
Rh 2.5376 3.6804 1.8806
Rh 2.8441 2.5896 5.6307
Rh 3.2531 1.3024 3.3529
Rh 5.5665 5.5819 5.2283
Rh -0.1848 0.6881 2.2829
Rh 3.2549 6.1308 6.4263
Rh 0.7082 2.2602 0.3308
Rh 2.1267 0.1392 1.0850
Rh 4.6735 4.0098 7.1805
Rh 2.1285 4.9676 4.1584
Rh 0.7942 2.6891 3.9572
V 0.1885 4.5663 2.3210
V 5.1931 1.7037 5.1903
V 0.8967 4.1433 6.2320
V 4.4849 2.1266 1.2792
V 3.9595 5.8611 2.6037
V 1.4221 0.4089 4.9076
B 0.0000 0.0000 0.0000
```

Results
SG = R-3
Total magnetization = 0.0 μB per formula unit
Total DFT energy (no corrections) = -154.78 eV per cell

(3)
An optimized crystal structure of V2B4Rh5, computed with PBE-GGA.

The structure in extended XYZ format:
```
11
Lattice="5.3431 0.0013 -0.0026 2.6705 4.5741 -0.0006 2.6687 -0.0003 5.6011" Properties=species:S:1:pos:R:3 pbc="T T T"
B 2.6662 1.2912 1.6039
B 8.0106 3.2833 3.9944
B 5.3395 1.2920 3.9954
B 5.3373 3.2837 1.6029
V 5.3494 0.0011 1.0665
V 2.6690 0.0000 4.5315
Rh 4.0026 2.2869 2.7996
Rh 6.6742 2.2882 2.7983
Rh 5.3476 0.0004 5.5998
Rh 4.0046 2.2840 5.6008
Rh 6.6762 2.2902 5.5995
```

Results
SG = Cm
Total magnetization = 0.0 μB per formula unit
Total DFT energy (no corrections) = -83.30 eV per cell

(4)
An optimized crystal structure of V5B2Rh12, computed with PBE-GGA.

The structure in extended XYZ format:
```
19
Lattice="5.4440 0.0000 0.0000 -2.7220 8.1265 -0.4153 0.0000 -3.4390 6.0719" Properties=species:S:1:pos:R:3 pbc="T T T"
V 2.7220 2.5637 2.8600
V 0.0000 -1.7195 3.0360
V 0.0000 0.5133 5.8211
V 0.0000 2.1238 2.7966
V 2.7220 4.1742 -0.1645
Rh 4.0536 2.0636 0.6283
Rh 1.3317 2.6238 5.0283
Rh 1.3903 2.0636 0.6283
Rh -1.3317 2.6238 5.0283
Rh 0.0000 6.9964 1.2564
Rh -1.2912 4.4501 1.9508
Rh 2.7220 4.8365 4.3399
Rh 1.4308 0.2374 3.7058
Rh 4.0132 0.2374 3.7058
Rh 1.2912 4.4501 1.9508
Rh 2.7220 -2.3089 4.4002
Rh 0.0000 -0.1490 1.3167
B 3.6546 0.0000 0.0000
B 1.7893 0.0000 0.0000
```

Results
SG = C2/m
Total magnetization = 0.0 μB per formula unit
Total DFT energy (no corrections) = -151.11 eV per cell

(5)
An optimized crystal structure of ZrVB2Rh, computed with PBE-GGA.

The structure in extended XYZ format:
```
5
Lattice="-2.1446 3.1484 2.0278 -1.2000 -3.0470 3.4618 3.5837 1.0473 2.1641" Properties=species:S:1:pos:R:3 pbc="T T T"
V 0.1196 0.5743 3.8268
B 1.7919 0.5236 1.0820
B -1.0723 1.5742 1.0139
Rh -0.6000 -1.5235 1.7309
Zr 0.0000 0.0000 0.0000
```

Results
SG = P4/mmm
Total magnetization = 0.1 μB per formula unit
Total DFT energy (no corrections) = -29.48 eV per cell

(6)
An optimized crystal structure of B3RhW, computed with PBE-GGA.

The structure in extended XYZ format:
```
5
Lattice="3.9336 0.0000 0.0000 0.0000 3.9336 0.0000 0.0000 0.0000 3.9336" Properties=species:S:1:pos:R:3 pbc="T T T"
B 1.9668 0.0000 0.0000
B 0.0000 0.0000 1.9668
B 0.0000 1.9668 0.0000
Rh 0.0000 0.0000 0.0000
W 1.9668 1.9668 1.9668
```

Results
SG = Pm-3m
Energy relative to the lowest polymorph listed for this composition = 53 meV/atom
Total magnetization = 0.0 μB per formula unit
Total DFT energy (no corrections) = -32.48 eV per cell

(7)
An optimized crystal structure of BRhW3, computed with PBE-GGA.

The structure in extended XYZ format:
```
5
Lattice="4.6753 0.0000 0.0000 0.0000 4.6753 0.0000 0.0000 0.0000 4.6753" Properties=species:S:1:pos:R:3 pbc="T T T"
B 2.3376 2.3376 2.3376
W 0.0000 0.0000 2.3376
W 0.0000 2.3376 0.0000
W 2.3376 0.0000 0.0000
Rh 0.0000 0.0000 0.0000
```

Results
SG = Pm-3m
Energy relative to the lowest polymorph listed for this composition = 2664 meV/atom
Total magnetization = 0.0 μB per formula unit
Total DFT energy (no corrections) = -38.61 eV per cell

(8)
An optimized crystal structure of BRhW, computed with PBE-GGA.

The structure in extended XYZ format:
```
6
Lattice="-1.8199 -1.8267 1.8095 -2.1214 -1.9152 -1.3249 4.7981 -7.7372 -0.2431" Properties=species:S:1:pos:R:3 pbc="T T T"
W 2.7616 -8.2170 -0.0337
W -1.9048 -3.2620 0.2752
Rh 0.9633 -3.6652 0.0108
Rh -0.1066 -7.8138 0.2307
B -2.2835 -5.5022 0.3749
B 3.1403 -5.9769 -0.1334
```

Results
SG = R-3m
Total magnetization = 0.0 μB per formula unit
Total DFT energy (no corrections) = -55.38 eV per cell

(9)
An optimized crystal structure of BRhW, computed with PBE-GGA.

The structure in extended XYZ format:
```
6
Lattice="2.9657 0.0000 0.0000 0.0000 3.5170 0.0000 0.0000 -1.7585 6.8205" Properties=species:S:1:pos:R:3 pbc="T T T"
W 0.7414 1.7585 5.6053
W 2.2242 0.0000 1.2152
B 0.7414 1.7585 0.4638
B 2.2242 0.0000 6.3567
Rh 2.2242 0.0000 4.1541
Rh 0.7414 1.7585 2.6664
```

Results
SG = Cmcm
Total magnetization = 0.0 μB per formula unit
Total DFT energy (no corrections) = -55.57 eV per cell

(10)
An optimized crystal structure of BRhW3, computed with PBE-GGA.

The structure in extended XYZ format:
```
5
Lattice="4.1689 0.0000 0.0000 0.0000 4.1689 0.0000 0.0000 0.0000 4.1689" Properties=species:S:1:pos:R:3 pbc="T T T"
Rh 2.0844 2.0844 2.0844
W 2.0844 0.0000 0.0000
W 0.0000 0.0000 2.0844
W 0.0000 2.0844 0.0000
B 0.0000 0.0000 0.0000
```

Results
SG = Pm-3m
Energy relative to the lowest polymorph listed for this composition = 0 meV/atom
Total magnetization = 0.0 μB per formula unit
Total DFT energy (no corrections) = -51.93 eV per cell

(11)
An optimized crystal structure of B3RhW, computed with PBE-GGA.

The structure in extended XYZ format:
```
5
Lattice="4.1057 0.0000 0.0000 0.0000 4.1057 0.0000 0.0000 0.0000 4.1057" Properties=species:S:1:pos:R:3 pbc="T T T"
Rh 2.0529 2.0529 2.0529
B 2.0529 0.0000 0.0000
B 0.0000 2.0529 0.0000
B 0.0000 0.0000 2.0529
W 0.0000 0.0000 0.0000
```

Results
SG = Pm-3m
Energy relative to the lowest polymorph listed for this composition = 0 meV/atom
Total magnetization = 1.7 μB per formula unit
Total DFT energy (no corrections) = -32.74 eV per cell

(12)
An optimized crystal structure of BRh3W, computed with PBE-GGA.

The structure in extended XYZ format:
```
5
Lattice="-1.7753 -0.2846 3.6702 -2.3512 -3.0476 -1.3736 2.8325 -2.7082 1.1601" Properties=species:S:1:pos:R:3 pbc="T T T"
Rh 1.4162 -1.3541 0.5800
Rh -1.1756 -1.5238 -0.6868
Rh -0.8876 -0.1423 1.8351
W -0.6470 -3.0201 1.7283
B 0.0000 0.0000 0.0000
```

Results
SG = Pm-3m
Energy relative to the lowest polymorph listed for this composition = 0 meV/atom
Total magnetization = 2.0 μB per formula unit
Total DFT energy (no corrections) = -41.07 eV per cell